# 1
The following is a PBE calculation of a relaxed DyAgF4 crystal, from Alexandria via LeMat-Bulk.

Lattice parameters (Å, degrees): 3.599 5.508 5.508 92.85 90.00 90.00
Atoms (fractional coordinates):
Dy 0.000 0.500 0.500
Ag 0.500 0.000 0.000
F 0.000 0.217 0.217
F 0.000 0.783 0.783
F 0.500 0.667 0.333
F 0.500 0.333 0.667

space-group type	Cmmm (65)
calculated volume	18.179	A^3/atom
offset from the most stable computed form	25	meV/atom
energy	-5.4987	eV per atom
formation energy (no corrections)	-3009	meV/atom



# 2
The following is a PBE calculation of a relaxed Dy2AgF8 crystal, from Alexandria via LeMat-Bulk.

Lattice parameters (Å, degrees): 4.497 6.034 6.034 111.10 99.55 99.55
Atoms (fractional coordinates):
F 0.890 0.928 0.653
F 0.890 0.653 0.928
F 0.294 0.642 0.642
F 0.500 0.784 0.216
F 0.500 0.216 0.784
F 0.706 0.358 0.358
F 0.110 0.347 0.072
F 0.110 0.072 0.347
Ag 0.500 0.000 0.000
Dy 0.000 0.311 0.689
Dy 0.000 0.689 0.311

space-group type	C2/m (12)
calculated volume	13.276	A^3/atom
energy	-5.6860	eV per atom
formation energy (no corrections)	-3229	meV/atom



# 3
The following is a PBE calculation of a relaxed DyAg2F6 crystal, from Alexandria via LeMat-Bulk.

Lattice parameters (Å, degrees): 3.774 5.568 7.057 113.23 105.51 90.00
Atoms (fractional coordinates):
Dy 0.000 0.000 0.000
Ag 0.332 0.332 0.664
Ag 0.668 0.668 0.336
F 0.848 0.096 0.696
F 0.152 0.400 0.304
F 0.152 0.904 0.304
F 0.500 0.225 0.000
F 0.848 0.600 0.696
F 0.500 0.775 0.000

space-group type	Immm (71)
calculated volume	14.487	A^3/atom
offset from the most stable computed form	0	meV/atom
energy	-4.8079	eV per atom
formation energy (no corrections)	-2415	meV/atom



# 4
The following is a PBE calculation of a relaxed DyAg6F12 crystal, from Alexandria via LeMat-Bulk.

Lattice parameters (Å, degrees): 6.917 6.917 6.917 100.80 100.80 100.80
Atoms (fractional coordinates):
Dy 0.000 0.000 0.000
Ag 0.143 0.311 0.605
Ag 0.689 0.395 0.857
Ag 0.395 0.857 0.689
Ag 0.857 0.689 0.395
Ag 0.311 0.605 0.143
Ag 0.605 0.143 0.311
F 0.414 0.173 0.629
F 0.173 0.629 0.414
F 0.629 0.414 0.173
F 0.586 0.827 0.371
F 0.827 0.371 0.586
F 0.371 0.586 0.827
F 0.024 0.909 0.687
F 0.313 0.976 0.091
F 0.091 0.313 0.976
F 0.976 0.091 0.313
F 0.687 0.024 0.909
F 0.909 0.687 0.024

space-group type	R-3 (148)
calculated volume	16.351	A^3/atom
energy	-4.0421	eV per atom
formation energy (no corrections)	-1718	meV/atom